Material: SnPb2Cl2O2
Method: DFT, PBE
State: optimized geometry

The space group is C2/m (No. 12) and the conventional cell measures 13.4339, 3.8872 and 7.6000 Å, with angles of 90.00, 107.57 and 90.00 degrees. The distinct sites, in fractional coordinates, are Sn at (0.0000, 0.0000, 0.0000), Pb at (0.2072, 0.5000, 0.7885), Cl at (0.1018, 0.5000, 0.2864) and O at (0.1623, 0.0000, 0.9305).

Its uncorrected formation energy is -1.0984 eV per atom.